[1]
A relaxed structure of ZrSc2Sn, computed with PBE.

Cell lengths 8.0769, 8.0769, 6.4491 Å; angles 51.23, 51.23, 90.00 degrees
Positions (direct):
1 Sn 0.0000 0.0000 0.0000
2 Zr 0.5000 0.5000 0.0000
3 Sc 0.8750 0.8896 0.7500
4 Zr 0.2500 0.7500 0.5000
5 Sn 0.7500 0.2500 0.5000
6 Sc 0.3750 0.3604 0.7500
7 Sc 0.1104 0.6250 0.2500
8 Sc 0.6396 0.1250 0.2500

Summary:
Uncorrected energy   -0.456 Ry/atom



[2]
A relaxed structure of ZrSc2Sn2, computed with PBE.

Cell lengths 7.7234, 7.7234, 3.9390 Å; angles 90.00, 90.00, 90.00 degrees
Positions (direct):
1 Sn 0.6374 0.1374 0.0000
2 Sn 0.8626 0.6374 0.0000
3 Sc 0.1670 0.6670 0.5000
4 Sn 0.1374 0.3626 0.0000
5 Zr 0.5000 0.5000 0.0000
6 Sc 0.6670 0.8330 0.5000
7 Zr 0.0000 0.0000 0.0000
8 Sc 0.3330 0.1670 0.5000
9 Sn 0.3626 0.8626 0.0000
10 Sc 0.8330 0.3330 0.5000

Summary:
Uncorrected energy   -0.468 Ry/atom
Relative energy among the computed polymorphs   0 meV/atom



[3]
A relaxed structure of ZrSc2Sn2, computed with PBE.

Cell lengths 8.4503, 8.4503, 3.2321 Å; angles 90.00, 90.00, 90.00 degrees
Each line ends with the local moment (μB).
Positions (direct):
1 Zr 0.5000 0.5000 0.0000  0.00
2 Sc 0.1226 0.3774 0.0000  0.11
3 Sc 0.6226 0.1226 0.0000  0.13
4 Sc 0.3774 0.8774 0.0000  0.13
5 Sn 0.6768 0.8232 0.5000  -0.01
6 Sn 0.1768 0.6768 0.5000  -0.01
7 Sn 0.8232 0.3232 0.5000  -0.01
8 Sc 0.8774 0.6226 0.0000  0.11
9 Zr 0.0000 0.0000 0.0000  0.00
10 Sn 0.3232 0.1768 0.5000  -0.01

Summary:
Uncorrected energy   -0.451 Ry/atom
Relative energy among the computed polymorphs   232 meV/atom



[4]
A relaxed structure of Zr2Sc2Sn, computed with PBE.

Cell lengths 7.6046, 7.6046, 4.1358 Å; angles 90.00, 90.00, 90.00 degrees
Positions (direct):
1 Zr 0.3607 0.8607 0.0000
2 Sn 0.0000 0.0000 0.0000
3 Zr 0.1393 0.3607 0.0000
4 Sc 0.8407 0.3407 0.5000
5 Zr 0.8607 0.6393 0.0000
6 Sc 0.1593 0.6593 0.5000
7 Zr 0.6393 0.1393 0.0000
8 Sn 0.5000 0.5000 0.0000
9 Sc 0.3407 0.1593 0.5000
10 Sc 0.6593 0.8407 0.5000

Summary:
Uncorrected energy   -0.505 Ry/atom
Relative energy among the computed polymorphs   0 meV/atom



[5]
A relaxed structure of ZrSc6Sn, computed with PBE.

Cell lengths 4.4880, 6.4751, 6.4751 Å; angles 89.97, 90.00, 90.00 degrees
Positions (direct):
1 Sc 0.5000 0.0000 0.5000
2 Sc 0.0000 0.2562 0.7438
3 Zr 0.5000 0.5000 0.5000
4 Sc 0.0000 0.7438 0.2562
5 Sn 0.5000 0.0000 0.0000
6 Sc 0.0000 0.2566 0.2566
7 Sc 0.5000 0.5000 0.0000
8 Sc 0.0000 0.7434 0.7434

Summary:
Uncorrected energy   -0.477 Ry/atom



[6]
A relaxed structure of Zr4ScSn2, computed with PBE.

Cell lengths 4.6907, 4.6907, 8.6573 Å; angles 105.72, 105.72, 90.00 degrees
Positions (direct):
1 Sc 0.0000 0.0000 0.0000
2 Zr 0.5000 0.0000 0.0000
3 Zr 0.1843 0.1843 0.3686
4 Zr 0.8157 0.8157 0.6314
5 Sn 0.3652 0.3652 0.7305
6 Zr 0.0000 0.5000 0.0000
7 Sn 0.6348 0.6348 0.2695

Summary:
Uncorrected energy   -0.474 Ry/atom
Relative energy among the computed polymorphs   802 meV/atom



[7]
A relaxed structure of Zr5ScSn3, computed with PBE.

Cell lengths 7.5065, 7.5065, 9.0794 Å; angles 114.42, 114.42, 90.00 degrees
Positions (direct):
1 Sn 0.8748 0.6252 0.0000
2 Zr 0.5611 0.6669 0.7280
3 Zr 0.1669 0.0611 0.7280
4 Zr 0.8331 0.9389 0.2720
5 Zr 0.4389 0.3331 0.2720
6 Sc 0.7500 0.2500 0.5000
7 Zr 0.0000 0.0000 0.0000
8 Zr 0.9389 0.4389 0.2720
9 Sc 0.2500 0.7500 0.5000
10 Zr 0.0611 0.5611 0.7280
11 Zr 0.3331 0.8331 0.2720
12 Zr 0.6669 0.1669 0.7280
13 Sn 0.6252 0.1252 0.0000
14 Sn 0.1252 0.3748 0.0000
15 Sn 0.7500 0.7500 0.5000
16 Sn 0.2500 0.2500 0.5000
17 Zr 0.5000 0.5000 0.0000
18 Sn 0.3748 0.8748 0.0000

Summary:
Uncorrected energy   -0.505 Ry/atom



[8]
A relaxed structure of Zr2Sc2Sn, computed with PBE.

Cell lengths 6.0493, 6.0493, 5.3919 Å; angles 53.98, 53.98, 56.27 degrees
Positions (direct):
1 Zr 0.7421 0.2579 0.5000
2 Sc 0.6779 0.6779 0.7437
3 Zr 0.2579 0.7421 0.5000
4 Sn 0.0000 0.0000 0.0000
5 Sc 0.3221 0.3221 0.2563

Summary:
Uncorrected energy   -0.492 Ry/atom
Relative energy among the computed polymorphs   173 meV/atom



[9]
A relaxed structure of ZrSc2Sn, computed with PBE.

Cell lengths 4.2454, 4.1803, 10.7741 Å; angles 90.00, 101.40, 90.00 degrees
Positions (direct):
1 Sc 0.5638 0.2500 0.1267
2 Sc 0.9393 0.2500 0.8794
3 Sn 0.1665 0.2500 0.3312
4 Sc 0.0607 0.7500 0.1206
5 Zr 0.6950 0.7500 0.3879
6 Sc 0.4362 0.7500 0.8733
7 Sn 0.8335 0.7500 0.6688
8 Zr 0.3050 0.2500 0.6121

Summary:
Uncorrected energy   -0.487 Ry/atom



[10]
A relaxed structure of ZrSc2Sn4, computed with PBE.

Cell lengths 5.4353, 5.4353, 8.1903 Å; angles 70.62, 70.62, 90.00 degrees
Positions (direct):
1 Sn 0.8034 0.8034 0.3932
2 Sn 0.5000 0.0000 0.0000
3 Sn 0.1966 0.1966 0.6068
4 Zr 0.0000 0.0000 0.0000
5 Sc 0.3977 0.3977 0.2046
6 Sn 0.0000 0.5000 0.0000
7 Sc 0.6023 0.6023 0.7954

Summary:
Uncorrected energy   -0.391 Ry/atom



[11]
A relaxed structure of ZrSc3Sn, computed with PBE.

Cell lengths 5.0297, 8.3398, 5.7080 Å; angles 106.77, 90.00, 90.00 degrees
Positions (direct):
1 Sc 0.2500 0.0980 0.1446
2 Sn 0.7500 0.3084 0.0817
3 Sc 0.2500 0.2829 0.7503
4 Sn 0.2500 0.6916 0.9183
5 Sc 0.7500 0.9020 0.8554
6 Sc 0.7500 0.5052 0.6679
7 Sc 0.2500 0.4948 0.3321
8 Zr 0.2500 0.8890 0.5071
9 Zr 0.7500 0.1110 0.4929
10 Sc 0.7500 0.7171 0.2497

Summary:
Uncorrected energy   -0.488 Ry/atom
Relative energy among the computed polymorphs   0 meV/atom



[12]
A relaxed structure of ZrScSn, computed with PBE.

Cell lengths 3.2021, 6.3990, 7.1900 Å; angles 76.25, 76.31, 86.77 degrees
Positions (direct):
1 Zr 0.7503 0.8294 0.2441
2 Sn 0.4208 0.1729 0.9084
3 Zr 0.0914 0.5164 0.5725
4 Sc 0.7581 0.3448 0.2350
5 Sc 0.0834 0.0010 0.5818
6 Sn 0.4210 0.6728 0.9084

Summary:
Uncorrected energy   -0.486 Ry/atom